DFT (GGA-PBE) results for Ac2ErAl4Zn3 after structural relaxation.

Results
E (eV/cell): -34.69
Symmetry: P-4m2 (115)

Cell: 4.506 4.506 11.601 Å, 90.00 90.00 90.00°
Atoms (fractional coordinates):
Ac 0.500 0.000 0.232
Ac 0.000 0.500 0.768
Er 0.500 0.500 0.500
Al 0.500 0.500 0.000
Al 0.000 0.000 0.000
Al 0.500 0.000 0.657
Al 0.000 0.500 0.343
Zn 0.000 0.000 0.500
Zn 0.500 0.000 0.880
Zn 0.000 0.500 0.120

DFT (GGA-PBE) results for Ac2EuAl after structural relaxation.

Results
Distance to the lowest polymorph of the same formula (eV/atom): 0.059
E (eV/cell): -22.38
Symmetry: P4/mmm (123)

Cell: 4.927 5.340 5.340 Å, 90.00 90.00 90.00°
Each line ends with the local moment (μB).
Atoms (fractional coordinates):
Eu 0.500 0.000 0.000  6.93
Ac 0.000 0.000 0.500  0.08
Ac 0.000 0.500 0.000  0.08
Al 0.500 0.500 0.500  -0.02

DFT (GGA-PBE) results for AcEu2Al after structural relaxation.

Results
Distance to the lowest polymorph of the same formula (eV/atom): 0.166
E (eV/cell): -28.08
Symmetry: Fm-3m (225)

Cell: 5.720 5.720 5.720 Å, 60.00 60.00 60.00°
Each line ends with the local moment (μB).
Atoms (fractional coordinates):
Eu 0.250 0.250 0.250  6.97
Eu 0.750 0.750 0.750  6.97
Ac 0.000 0.000 0.000  0.30
Al 0.500 0.500 0.500  -0.04

DFT (GGA-PBE) results for AcEuAl2 after structural relaxation.

Results
E (eV/cell): -21.67
Symmetry: R-3m (166)

Cell: 3.841 3.841 10.139 Å, 79.08 79.08 60.00°
Each line ends with the local moment (μB).
Atoms (fractional coordinates):
Eu 0.500 0.500 0.500  -6.87
Ac 0.000 0.000 0.000  0.00
Al 0.753 0.753 0.742  0.00
Al 0.247 0.247 0.258  0.00

DFT (GGA-PBE) results for AcEuAl2 after structural relaxation.

Results
E (eV/cell): -22.71
Symmetry: P4/mmm (123)

Cell: 3.900 3.900 7.622 Å, 90.00 90.00 90.00°
Each line ends with the local moment (μB).
Atoms (fractional coordinates):
Eu 0.500 0.500 0.500  6.82
Ac 0.500 0.500 0.000  -0.01
Al 0.000 0.000 0.729  -0.01
Al 0.000 0.000 0.271  -0.01

DFT (GGA-PBE) results for Ac2EuAl after structural relaxation.

Results
Distance to the lowest polymorph of the same formula (eV/atom): 0.000
E (eV/cell): -22.62
Symmetry: P4/mmm (123)

Cell: 3.999 3.999 9.364 Å, 90.00 90.00 90.00°
Each line ends with the local moment (μB).
Atoms (fractional coordinates):
Eu 0.500 0.500 0.500  7.01
Ac 0.000 0.000 0.800  0.08
Ac 0.000 0.000 0.200  0.08
Al 0.500 0.500 0.000  -0.01

DFT (GGA-PBE) results for AcEu2Al after structural relaxation.

Results
Distance to the lowest polymorph of the same formula (eV/atom): 0.217
E (eV/cell): -27.87
Symmetry: R-3m (166)

Cell: 3.744 3.744 12.421 Å, 81.33 81.33 60.00°
Each line ends with the local moment (μB).
Atoms (fractional coordinates):
Eu 0.101 0.101 0.697  6.96
Eu 0.899 0.899 0.303  6.96
Ac 0.000 0.000 0.000  0.07
Al 0.500 0.500 0.500  -0.01

DFT (GGA-PBE) results for AcEu2Al after structural relaxation.

Results
Distance to the lowest polymorph of the same formula (eV/atom): 0.000
E (eV/cell): -28.74
Symmetry: P4/mmm (123)

Cell: 3.850 3.850 9.405 Å, 90.00 90.00 90.00°
Each line ends with the local moment (μB).
Atoms (fractional coordinates):
Eu 0.000 0.000 0.808  6.86
Eu 0.000 0.000 0.192  6.86
Ac 0.500 0.500 0.500  0.04
Al 0.500 0.500 0.000  -0.01

no.,formation enthalpy at 0 K (eV per atom),magnetization (μB/atom)
1,-0.312,0.000
2,-0.037,1.904
3,0.081,3.844
4,0.050,1.822
5,-0.210,1.767
6,-0.097,2.008
7,0.132,3.727
8,-0.085,3.604